Entry from the Alexandria database: a crystal of SrLiN2 relaxed with PBEsol (meta-GGA SCAN).

Cell lengths 4.7920, 4.7920, 4.7920 Å; angles 46.42, 46.42, 46.42 degrees
Closest atoms and distances in Å follow each position.
Element x y z (fractional)
Sr (0.0000, 0.0000, 0.0000)  8 N 2.61-2.84
Li (0.5000, 0.5000, 0.5000)  6 N 2.29
N (0.2220, 0.2220, 0.2220)  3 Li 2.29
N (0.7780, 0.7780, 0.7780)  3 Li 2.29

Summary:
**Raw total energy**: -42.30 eV for the cell shown
**Crystal system**: trigonal
**Magnetic moment**: 3.00 μB/cell
**E_form (uncorrected)**: 237 meV/atom
**Calculated volume**: 13.2 Å³/atom
**E above lowest polymorph**: 63.6 kJ/mol of formula units